[1]
Here is a geometry-optimized ThTaGe structure from Alexandria. Energies are from PBE.

abc: 3.456 4.499 10.585
angles: 77.73 90.00 90.00
Fractional coordinates of all 6 atoms:
Ta 0.250 0.234 0.532
Ta 0.750 0.766 0.468
Th 0.250 0.073 0.854
Th 0.750 0.927 0.146
Ge 0.750 0.337 0.327
Ge 0.250 0.663 0.673

Values from the calculation:
formation energy: 0.269 eV per atom
DOS(E_F): 5.1 states/eV per cell
space group: Cmcm, No. 63

---

[2]
Here is a geometry-optimized Ho3Ga4Ru2 structure from Alexandria. Energies are from PBE.

abc: 4.347 5.591 8.282
angles: 103.84 90.00 112.88
Fractional coordinates of all 9 atoms:
Ga 0.300 0.601 0.941
Ga 0.096 0.191 0.650
Ga 0.904 0.809 0.350
Ga 0.700 0.399 0.059
Ru 0.715 0.429 0.757
Ru 0.285 0.571 0.243
Ho 0.000 0.000 0.000
Ho 0.381 0.763 0.623
Ho 0.619 0.237 0.377

Values from the calculation:
formation energy: -0.560 eV per atom
DOS(E_F): 4.8 states/eV per cell
space group: C2/m, No. 12

---

[3]
Here is a geometry-optimized SmO2 structure from Alexandria. Energies are from PBE.

abc: 3.774 4.290 6.394
angles: 72.95 90.00 90.00
Last column: magnetic moment on the atom in μB.
Fractional coordinates of all 6 atoms:
O 0.750 0.826 0.057  0.77
O 0.250 0.265 0.457  0.08
O 0.250 0.174 0.943  0.77
O 0.750 0.735 0.543  0.08
Sm 0.750 0.168 0.689  -0.01
Sm 0.250 0.832 0.311  -0.01

Values from the calculation:
ΔE_f (raw): -2.597 eV/atom
DOS(E_F): 2.3 states/eV per cell
space group: P2_1/m, No. 11

---

Please write out number 1 again, unchanged.
Here is a geometry-optimized ThTaGe structure from Alexandria. Energies are from PBE.

abc: 3.456 4.499 10.585
angles: 77.73 90.00 90.00
Fractional coordinates of all 6 atoms:
Ta 0.250 0.234 0.532
Ta 0.750 0.766 0.468
Th 0.250 0.073 0.854
Th 0.750 0.927 0.146
Ge 0.750 0.337 0.327
Ge 0.250 0.663 0.673

Values from the calculation:
formation energy: 0.269 eV per atom
DOS(E_F): 5.1 states/eV per cell
space group: Cmcm, No. 63